Arrangement P

# TaCoS2N GGA-PBE optimized geometry
# Magnetic moment (Bohr magnetons per cell): 2.97
data_TaCoS2N
_chemical_formula_sum 'Ta1 Co1 S2 N1'
_cell_length_a 4.899
_cell_length_b 4.899
_cell_length_c 3.861
_cell_angle_alpha 90.00
_cell_angle_beta 90.00
_cell_angle_gamma 90.00
_symmetry_space_group_name_H-M 'P 1'
_symmetry_Int_Tables_number 1
loop_
_symmetry_equiv_pos_as_xyz
'x,y,z'
loop_
_atom_site_label
_atom_site_fract_x
_atom_site_fract_y
_atom_site_fract_z
Ta1 0.000 0.000 0.000
Co1 0.500 0.500 0.500
S1 0.000 0.500 0.000
S2 0.500 0.000 0.000
N1 0.000 0.000 0.500

Arrangement Q

# TaCoS2N GGA-PBE optimized geometry
# Magnetic moment (Bohr magnetons per cell): 0.98
data_TaCoS2N
_chemical_formula_sum 'Ta1 Co1 S2 N1'
_cell_length_a 4.597
_cell_length_b 4.597
_cell_length_c 3.346
_cell_angle_alpha 90.00
_cell_angle_beta 90.00
_cell_angle_gamma 90.00
_symmetry_space_group_name_H-M 'P 1'
_symmetry_Int_Tables_number 1
loop_
_symmetry_equiv_pos_as_xyz
'x,y,z'
loop_
_atom_site_label
_atom_site_fract_x
_atom_site_fract_y
_atom_site_fract_z
Ta1 0.000 0.000 0.000
Co1 0.500 0.500 0.500
S1 0.000 0.500 0.500
S2 0.500 0.000 0.500
N1 0.500 0.500 0.000

Tell me which of them is the most stable. Sure, it is arrangement P.

Arrangement P

# CoTcSN2 GGA-PBE optimized geometry
# Magnetic moment (Bohr magnetons per cell): 0.54
data_CoTcSN2
_chemical_formula_sum 'Co1 Tc1 S1 N2'
_cell_length_a 3.636
_cell_length_b 3.636
_cell_length_c 4.585
_cell_angle_alpha 90.00
_cell_angle_beta 90.00
_cell_angle_gamma 90.00
_symmetry_space_group_name_H-M 'P 1'
_symmetry_Int_Tables_number 1
loop_
_symmetry_equiv_pos_as_xyz
'x,y,z'
loop_
_atom_site_label
_atom_site_fract_x
_atom_site_fract_y
_atom_site_fract_z
Co1 0.000 0.000 0.000
Tc1 0.500 0.500 0.500
S1 0.000 0.000 0.500
N1 0.000 0.500 0.000
N2 0.500 0.000 0.000

Arrangement Q

# CoTcSN2 GGA-PBE optimized geometry
# Magnetic moment (Bohr magnetons per cell): 2.27
data_CoTcSN2
_chemical_formula_sum 'Co1 Tc1 S1 N2'
_cell_length_a 3.760
_cell_length_b 3.760
_cell_length_c 5.179
_cell_angle_alpha 90.00
_cell_angle_beta 90.00
_cell_angle_gamma 90.00
_symmetry_space_group_name_H-M 'P 1'
_symmetry_Int_Tables_number 1
loop_
_symmetry_equiv_pos_as_xyz
'x,y,z'
loop_
_atom_site_label
_atom_site_fract_x
_atom_site_fract_y
_atom_site_fract_z
Co1 0.000 0.000 0.000
Tc1 0.500 0.500 0.500
S1 0.500 0.500 0.000
N1 0.000 0.500 0.500
N2 0.500 0.000 0.500

Tell me which of them is the most stable. Sure, it is arrangement Q.